# 1
Crystalline HfPaGaAu at its relaxed geometry, computed with PBE-GGA.

Properties
The value obtained for the formation enthalpy at 0 K is -0.70 eV/f.u.

CIF file:
```
data_HfPaGaAu
_cell_length_a 7.024
_cell_length_b 7.024
_cell_length_c 7.024
_cell_angle_alpha 90.00
_cell_angle_beta 90.00
_cell_angle_gamma 90.00
_symmetry_space_group_name_H-M 'F -4 3 m'
_symmetry_Int_Tables_number 216
_symmetry_space_group_name_Hall 'F -4 2 3'
loop_
_atom_site_label
_atom_site_type_symbol
_atom_site_fract_x
_atom_site_fract_y
_atom_site_fract_z
Hf1 Hf 0.000 0.000 0.000
Pa1 Pa 0.000 0.000 0.500
Ga1 Ga 0.250 0.250 0.750
Au1 Au 0.250 0.250 0.250
```

***

# 2
Crystalline HfGaPdAu at its relaxed geometry, computed with PBE-GGA.

Properties
The value obtained for the formation enthalpy at 0 K is -2.28 eV/f.u.

CIF file:
```
data_HfGaPdAu
_cell_length_a 6.526
_cell_length_b 6.526
_cell_length_c 6.526
_cell_angle_alpha 90.00
_cell_angle_beta 90.00
_cell_angle_gamma 90.00
_symmetry_space_group_name_H-M 'F -4 3 m'
_symmetry_Int_Tables_number 216
_symmetry_space_group_name_Hall 'F -4 2 3'
loop_
_atom_site_label
_atom_site_type_symbol
_atom_site_fract_x
_atom_site_fract_y
_atom_site_fract_z
Hf1 Hf 0.000 0.000 0.000
Ga1 Ga 0.000 0.000 0.500
Pd1 Pd 0.250 0.250 0.250
Au1 Au 0.250 0.250 0.750
```

***

# 3
Crystalline HfGaRhAu at its relaxed geometry, computed with PBE-GGA.

Properties
The value obtained for the formation enthalpy at 0 K is -2.16 eV/f.u.

CIF file:
```
data_HfGaRhAu
_cell_length_a 6.483
_cell_length_b 6.483
_cell_length_c 6.483
_cell_angle_alpha 90.00
_cell_angle_beta 90.00
_cell_angle_gamma 90.00
_symmetry_space_group_name_H-M 'F -4 3 m'
_symmetry_Int_Tables_number 216
_symmetry_space_group_name_Hall 'F -4 2 3'
loop_
_atom_site_label
_atom_site_type_symbol
_atom_site_fract_x
_atom_site_fract_y
_atom_site_fract_z
Hf1 Hf 0.000 0.000 0.000
Ga1 Ga 0.000 0.000 0.500
Rh1 Rh 0.250 0.250 0.250
Au1 Au 0.250 0.250 0.750
```

***

# 4
Crystalline HfScGaAu at its relaxed geometry, computed with PBE-GGA.

Properties
The value obtained for the formation enthalpy at 0 K is -2.02 eV/f.u.

CIF file:
```
data_HfScGaAu
_cell_length_a 6.773
_cell_length_b 6.773
_cell_length_c 6.773
_cell_angle_alpha 90.00
_cell_angle_beta 90.00
_cell_angle_gamma 90.00
_symmetry_space_group_name_H-M 'F -4 3 m'
_symmetry_Int_Tables_number 216
_symmetry_space_group_name_Hall 'F -4 2 3'
loop_
_atom_site_label
_atom_site_type_symbol
_atom_site_fract_x
_atom_site_fract_y
_atom_site_fract_z
Hf1 Hf 0.000 0.000 0.000
Sc1 Sc 0.000 0.000 0.500
Ga1 Ga 0.250 0.250 0.750
Au1 Au 0.250 0.250 0.250
```

***

# 5
Crystalline Hf2GaAuSe at its relaxed geometry, computed with PBE-GGA.

Properties
The raw formation energy is 0.322 eV/atom.

CIF file:
```
data_Hf2GaAuSe
_cell_length_a 4.941
_cell_length_b 4.941
_cell_length_c 4.849
_cell_angle_alpha 90.00
_cell_angle_beta 90.00
_cell_angle_gamma 90.00
_symmetry_space_group_name_H-M 'P 4/m m m'
_symmetry_Int_Tables_number 123
_symmetry_space_group_name_Hall '-P 4 2'
loop_
_atom_site_label
_atom_site_type_symbol
_atom_site_fract_x
_atom_site_fract_y
_atom_site_fract_z
Hf1 Hf 0.000 0.500 0.000
Ga1 Ga 0.000 0.000 0.500
Au1 Au 0.500 0.500 0.500
Se1 Se 0.500 0.500 0.000
```

***

# 6
Crystalline TbHfGaAu at its relaxed geometry, computed with PBE-GGA.

Properties
The value obtained for the formation enthalpy at 0 K is -1.79 eV/f.u.

CIF file:
```
data_TbHfGaAu
_cell_length_a 6.994
_cell_length_b 6.994
_cell_length_c 6.994
_cell_angle_alpha 90.00
_cell_angle_beta 90.00
_cell_angle_gamma 90.00
_symmetry_space_group_name_H-M 'F -4 3 m'
_symmetry_Int_Tables_number 216
_symmetry_space_group_name_Hall 'F -4 2 3'
loop_
_atom_site_label
_atom_site_type_symbol
_atom_site_fract_x
_atom_site_fract_y
_atom_site_fract_z
Tb1 Tb 0.000 0.000 0.000
Hf1 Hf 0.000 0.000 0.500
Ga1 Ga 0.250 0.250 0.750
Au1 Au 0.250 0.250 0.250
```

***

# 7
Crystalline TmHfGaAu at its relaxed geometry, computed with PBE-GGA.

Properties
The value obtained for the formation enthalpy at 0 K is -1.89 eV/f.u.

CIF file:
```
data_TmHfGaAu
_cell_length_a 6.925
_cell_length_b 6.925
_cell_length_c 6.925
_cell_angle_alpha 90.00
_cell_angle_beta 90.00
_cell_angle_gamma 90.00
_symmetry_space_group_name_H-M 'F -4 3 m'
_symmetry_Int_Tables_number 216
_symmetry_space_group_name_Hall 'F -4 2 3'
loop_
_atom_site_label
_atom_site_type_symbol
_atom_site_fract_x
_atom_site_fract_y
_atom_site_fract_z
Tm1 Tm 0.000 0.000 0.000
Hf1 Hf 0.000 0.000 0.500
Ga1 Ga 0.250 0.250 0.250
Au1 Au 0.250 0.250 0.750
```

***

# 8
Crystalline HfZrGaAu at its relaxed geometry, computed with PBE-GGA.

Properties
The value obtained for the formation enthalpy at 0 K is -1.65 eV/f.u.

CIF file:
```
data_HfZrGaAu
_cell_length_a 6.791
_cell_length_b 6.791
_cell_length_c 6.791
_cell_angle_alpha 90.00
_cell_angle_beta 90.00
_cell_angle_gamma 90.00
_symmetry_space_group_name_H-M 'F -4 3 m'
_symmetry_Int_Tables_number 216
_symmetry_space_group_name_Hall 'F -4 2 3'
loop_
_atom_site_label
_atom_site_type_symbol
_atom_site_fract_x
_atom_site_fract_y
_atom_site_fract_z
Hf1 Hf 0.000 0.000 0.000
Zr1 Zr 0.000 0.000 0.500
Ga1 Ga 0.250 0.250 0.750
Au1 Au 0.250 0.250 0.250
```

***

# 9
Crystalline HfZrGaAu2 at its relaxed geometry, computed with PBE-GGA.

Properties
The value obtained for the formation enthalpy at 0 K is 4.09 eV/f.u.

CIF file:
```
data_HfZrGaAu2
_cell_length_a 5.057
_cell_length_b 5.057
_cell_length_c 4.986
_cell_angle_alpha 90.00
_cell_angle_beta 90.00
_cell_angle_gamma 90.00
_symmetry_space_group_name_H-M 'P 4/m m m'
_symmetry_Int_Tables_number 123
_symmetry_space_group_name_Hall '-P 4 2'
loop_
_atom_site_label
_atom_site_type_symbol
_atom_site_fract_x
_atom_site_fract_y
_atom_site_fract_z
Hf1 Hf 0.000 0.000 0.000
Zr1 Zr 0.500 0.500 0.500
Ga1 Ga 0.500 0.500 0.000
Au1 Au 0.000 0.500 0.500
```

***

# 10
Crystalline Hf2Zr2Ga4Au at its relaxed geometry, computed with PBE-GGA.

Properties
The value obtained for the formation enthalpy at 0 K is -0.97 eV/f.u.

CIF file:
```
data_Hf2Zr2Ga4Au
_cell_length_a 6.151
_cell_length_b 6.151
_cell_length_c 9.585
_cell_angle_alpha 90.00
_cell_angle_beta 90.00
_cell_angle_gamma 90.00
_symmetry_space_group_name_H-M 'I 4/m m m'
_symmetry_Int_Tables_number 139
_symmetry_space_group_name_Hall '-I 4 2'
loop_
_atom_site_label
_atom_site_type_symbol
_atom_site_fract_x
_atom_site_fract_y
_atom_site_fract_z
Hf1 Hf 0.000 0.000 0.226
Zr1 Zr 0.000 0.500 0.250
Ga1 Ga 0.214 0.214 0.000
Au1 Au 0.000 0.000 0.500
```

***

# 11
Crystalline GaHgAu2 at its relaxed geometry, computed with PBE-GGA.

Properties
The value obtained for the formation enthalpy at 0 K is 0.06 eV/f.u.

CIF file:
```
data_GaHgAu2
_cell_length_a 5.219
_cell_length_b 5.219
_cell_length_c 2.892
_cell_angle_alpha 90.00
_cell_angle_beta 90.00
_cell_angle_gamma 90.00
_symmetry_space_group_name_H-M 'P 4/m m m'
_symmetry_Int_Tables_number 123
_symmetry_space_group_name_Hall '-P 4 2'
loop_
_atom_site_label
_atom_site_type_symbol
_atom_site_fract_x
_atom_site_fract_y
_atom_site_fract_z
Ga1 Ga 0.000 0.000 0.000
Hg1 Hg 0.500 0.500 0.000
Au1 Au 0.000 0.500 0.500
```

***

# 12
Crystalline Ga2Hg2Au at its relaxed geometry, computed with PBE-GGA.

Properties
The value obtained for the formation enthalpy at 0 K is -0.04 eV/f.u. As for the relative energy among the computed polymorphs: 0 meV per atom.

CIF file:
```
data_Ga2Hg2Au
_cell_length_a 6.746
_cell_length_b 6.746
_cell_length_c 4.944
_cell_angle_alpha 90.00
_cell_angle_beta 90.00
_cell_angle_gamma 90.00
_symmetry_space_group_name_H-M 'P 4/m b m'
_symmetry_Int_Tables_number 127
_symmetry_space_group_name_Hall '-P 4 2ab'
loop_
_atom_site_label
_atom_site_type_symbol
_atom_site_fract_x
_atom_site_fract_y
_atom_site_fract_z
Ga1 Ga 0.140 0.360 0.000
Hg1 Hg 0.181 0.681 0.500
Au1 Au 0.000 0.000 0.000
```